NaGdTh2 after structural relaxation, computed with GGA-PBE.

Values from the calculation:
DOS at the Fermi energy: 16.18 states/eV per cell
Magnetic moment: 21.901 μB/cell
Uncorrected energy: -29.27 eV per formula unit

a b c (Å): 3.4741 3.4741 39.1637
angles (deg): 90.00 90.00 120.00
Closest atoms and distances in Å follow each position.
Space group R-3m (No. 166, hexagonal axes)
Symmetry-distinct sites (fractional):
Na: 0.0000 0.0000 0.0000 (multiplicity 3)  6 Na 3.47, 2 Th 3.56
Gd: 0.0000 0.0000 0.5000 (multiplicity 3)  6 Gd 3.47, 6 Th 3.58
Th: 0.0000 0.0000 0.0910 (multiplicity 6)  6 Th 3.47, 1 Na 3.56, 3 Gd 3.58


TmGaBi after structural relaxation, computed with GGA-PBE.

Values from the calculation:
DOS at the Fermi energy: 2.33 states/eV per cell
Magnetic moment: 0.000 μB/cell
Uncorrected energy: -12.14 eV per formula unit

a b c (Å): 4.7757 4.7757 4.0525
angles (deg): 90.00 90.00 120.00
Closest atoms and distances in Å follow each position.
Space group P3m1 (No. 156)
Symmetry-distinct sites (fractional):
Tm: 0.0000 0.0000 0.0000 (multiplicity 1)  3 Ga 2.97, 3 Bi 3.28
Ga: 0.6667 0.3333 0.7269 (multiplicity 1)  3 Tm 2.97, 3 Bi 3.00
Bi: 0.3333 0.6667 0.4380 (multiplicity 1)  3 Ga 3.00, 3 Tm 3.28


Question: Number 1 is which compound?
Answer: NaGdTh2


Question: magnetic moment of number 1 (NaGdTh2)?
Answer: 21.901 μB/cell


Question: What is the uncorrected energy in the first record?
Answer: -29.27 eV per formula unit